# Ti3Co3Te2O16 (GGA+U, optimized geometry)
# size of the total moment	0.971	μB/f.u.
# calculated density	4.8	Mg/m³
# calculated total energy	-164.1	eV per formula unit
data_Ti3Co3Te2O16
_space_group_name_H-M_alt 'C 1 m 1'
_space_group_IT_number 8
_cell_length_a 10.5168
_cell_length_b 5.9205
_cell_length_c 9.2407
_cell_angle_alpha 90.00
_cell_angle_beta 91.32
_cell_angle_gamma 90.00
loop_
_space_group_symop_operation_xyz
'x,y,z'
'x,-y,z'
'x+1/2,y+1/2,z'
'x+1/2,-y+1/2,z'
loop_
_atom_site_label
_atom_site_type_symbol
_atom_site_fract_x
_atom_site_fract_y
_atom_site_fract_z
Ti1 Ti 0.0000 0.0000 0.0000
Ti2 Ti 0.0719 0.2506 0.5109
Co1 Co 0.2478 0.2549 0.0170
Co2 Co 0.3320 0.0000 0.5184
Te1 Te 0.3210 0.5000 0.7361
Te2 Te 0.4869 0.0000 0.2318
O1 O 0.0111 0.5000 0.6200
O2 O 0.0622 0.2619 0.1158
O3 O 0.1333 0.5000 0.3733
O4 O 0.1533 0.0000 0.4254
O5 O 0.1670 0.0000 0.9247
O6 O 0.1852 0.5000 0.8830
O7 O 0.2415 0.2636 0.6230
O8 O 0.3234 0.0000 0.1278
O9 O 0.3276 0.5000 0.1073
O10 O 0.4076 0.2858 0.8690
O11 O 0.4264 0.2242 0.3708
O12 O 0.4758 0.5000 0.6122